[1]
Compound: PrMg2GaIr2
Source: Alexandria
Functional: PBE-GGA
Structure: relaxed

Cell lengths 4.6765, 4.6765, 6.0174 Å; angles 90.00, 90.00, 90.00 degrees
Fractional positions:
1 Mg 0.5000 0.5000 0.7537
2 Mg 0.5000 0.5000 0.2463
3 Pr 0.0000 0.0000 0.5000
4 Ir 0.0000 0.5000 0.0000
5 Ir 0.5000 0.0000 0.0000
6 Ga 0.0000 0.0000 0.0000

## Properties
- crystal system = tetragonal
- magnetic moment (μB/f.u.) = 0.0
- Fermi-level density of states (states/eV/f.u.) = 6.1
- uncorrected energy (eV per atom) = -4.9369
- space-group type = No. 123

[2]
Compound: PrSm2Zn4
Source: Alexandria
Functional: PBE-GGA
Structure: relaxed

Cell lengths 5.2808, 5.2808, 7.4108 Å; angles 110.87, 110.87, 90.00 degrees
Fractional positions:
1 Sm 0.2799 0.2799 0.5597
2 Sm 0.7201 0.7201 0.4403
3 Zn 0.8895 0.3895 0.7789
4 Zn 0.3895 0.8895 0.7789
5 Zn 0.1105 0.6105 0.2211
6 Zn 0.6105 0.1105 0.2211
7 Pr 0.0000 0.0000 0.0000

## Properties
- crystal system = tetragonal
- magnetic moment (μB/f.u.) = 0.0
- Fermi-level density of states (states/eV/f.u.) = 5.1
- uncorrected energy (eV per atom) = -2.8931
- space-group type = No. 139

[3]
Compound: PuBi4Pb5
Source: Alexandria
Functional: PBE-GGA
Structure: relaxed

Cell lengths 4.6684, 8.1128, 11.1974 Å; angles 120.45, 102.03, 90.00 degrees
Fractional positions:
1 Bi 0.9448 0.6839 0.8897
2 Bi 0.6401 0.9548 0.2802
3 Bi 0.3599 0.0452 0.7198
4 Bi 0.0552 0.3161 0.1103
5 Pu 0.5000 0.0000 0.0000
6 Pb 0.5000 0.5000 0.0000
7 Pb 0.1850 0.7577 0.3701
8 Pb 0.8149 0.2423 0.6299
9 Pb 0.1961 0.3000 0.3923
10 Pb 0.8039 0.7000 0.6077

## Properties
- crystal system = monoclinic
- magnetic moment (μB/f.u.) = 5.3
- Fermi-level density of states (states/eV/f.u.) = 16.7
- uncorrected energy (eV per atom) = -4.8209
- space-group type = No. 12

[4]
Compound: PmTmZn10
Source: Alexandria
Functional: PBE-GGA
Structure: relaxed

Cell lengths 4.2220, 5.3322, 9.1995 Å; angles 90.00, 90.00, 90.00 degrees
Fractional positions:
1 Zn 0.5000 0.0000 0.5000
2 Zn 0.0000 0.5000 0.1717
3 Zn 0.0000 0.5000 0.8283
4 Zn 0.0000 0.0000 0.6613
5 Zn 0.5000 0.7486 0.2527
6 Zn 0.5000 0.2514 0.2527
7 Zn 0.5000 0.7486 0.7473
8 Zn 0.5000 0.2514 0.7473
9 Zn 0.5000 0.5000 0.0000
10 Zn 0.0000 0.0000 0.3387
11 Tm 0.0000 0.5000 0.5000
12 Pm 0.0000 0.0000 0.0000

## Properties
- crystal system = orthorhombic
- magnetic moment (μB/f.u.) = 0.0
- Fermi-level density of states (states/eV/f.u.) = 5.3
- uncorrected energy (eV per atom) = -2.1048
- space-group type = No. 47

[5]
Compound: SiPF
Source: Alexandria
Functional: PBE-GGA
Structure: relaxed

Cell lengths 6.5201, 4.9669, 7.1932 Å; angles 90.00, 92.03, 90.00 degrees
Fractional positions:
1 Si 0.1195 0.0000 0.6391
2 Si 0.8805 0.5000 0.8609
3 Si 0.1195 0.5000 0.1391
4 Si 0.8805 0.0000 0.3609
5 P 0.1035 0.5000 0.6220
6 P 0.8965 0.0000 0.8780
7 P 0.1035 0.0000 0.1220
8 P 0.8965 0.5000 0.3780
9 F 0.3677 0.0000 0.6760
10 F 0.6323 0.0000 0.3240
11 F 0.3677 0.5000 0.1760
12 F 0.6323 0.5000 0.8240

## Properties
- crystal system = monoclinic
- magnetic moment (μB/f.u.) = 0.0
- ΔE to the lowest computed polymorph (eV/atom) = 0.2264
- Fermi-level density of states (states/eV/f.u.) = 0.1
- formation energy (no corrections) (eV per atom) = -1.11
- space-group type = No. 12

[6]
Compound: Rb2LiHgBr4
Source: Alexandria
Functional: PBE-GGA
Structure: relaxed

Cell lengths 6.5319, 8.1244, 12.6070 Å; angles 84.02, 74.99, 66.30 degrees
Fractional positions:
1 Br 0.6343 0.2240 0.1205
2 Br 0.1157 0.2760 0.3795
3 Br 0.6083 0.2760 0.6205
4 Br 0.7712 0.7240 0.6205
5 Br 0.5048 0.7240 0.3795
6 Br 0.2452 0.7760 0.1205
7 Br 0.9788 0.7760 0.8795
8 Br 0.1417 0.2240 0.8795
9 Li 0.7500 0.5000 0.5000
10 Li 0.0000 0.0000 0.0000
11 Rb 0.9307 0.5000 0.1385
12 Rb 0.5693 0.5000 0.8615
13 Rb 0.8193 0.0000 0.3615
14 Rb 0.1807 0.0000 0.6385
15 Hg 0.5000 0.0000 0.0000
16 Hg 0.2500 0.5000 0.5000

## Properties
- crystal system = orthorhombic
- magnetic moment (μB/f.u.) = 0.6
- Fermi-level density of states (states/eV/f.u.) = 4.9
- formation energy (no corrections) (eV per atom) = -1.22
- space-group type = No. 70

[7]
Compound: Hg4SbBrCl2
Source: Alexandria
Functional: PBE-GGA
Structure: relaxed

Cell lengths 9.3930, 9.3930, 8.2966 Å; angles 117.23, 117.23, 101.26 degrees
Fractional positions:
1 Hg 0.7916 0.1898 0.9901
2 Hg 0.2402 0.2478 0.9922
3 Hg 0.2522 0.2598 0.5078
4 Hg 0.7478 0.7402 0.4922
5 Hg 0.7598 0.7522 0.0078
6 Hg 0.3102 0.7084 0.5099
7 Hg 0.2084 0.8102 0.0099
8 Hg 0.6897 0.2916 0.4901
9 Br 0.0000 0.5000 0.5000
10 Br 0.0000 0.5000 0.0000
11 Cl 0.5000 0.0000 0.5000
12 Cl 0.5000 0.5000 0.0000
13 Cl 0.5000 0.0000 0.0000
14 Cl 0.0000 0.0000 0.5000
15 Sb 0.0000 0.0000 0.0000
16 Sb 0.5000 0.5000 0.5000

## Properties
- crystal system = monoclinic
- magnetic moment (μB/f.u.) = 0.0
- Fermi-level density of states (states/eV/f.u.) = 2.3
- formation energy (no corrections) (eV per atom) = -0.24
- space-group type = No. 15

[8]
Compound: Ba2Cd15Ga2
Source: Alexandria
Functional: PBE-GGA
Structure: relaxed

Cell lengths 7.8152, 7.8152, 7.8152 Å; angles 83.72, 83.72, 83.72 degrees
Fractional positions:
1 Cd 0.0000 0.7021 0.2979
2 Cd 0.0000 0.2979 0.7021
3 Cd 0.1645 0.6473 0.6473
4 Cd 0.7021 0.0000 0.2979
5 Cd 0.5000 0.0000 0.0000
6 Cd 0.6473 0.1645 0.6473
7 Cd 0.6473 0.6473 0.1645
8 Cd 0.2979 0.7021 0.0000
9 Cd 0.0000 0.0000 0.5000
10 Cd 0.8355 0.3527 0.3527
11 Cd 0.3527 0.8355 0.3527
12 Cd 0.3527 0.3527 0.8355
13 Cd 0.0000 0.5000 0.0000
14 Cd 0.7021 0.2979 0.0000
15 Cd 0.2979 0.0000 0.7021
16 Ba 0.3296 0.3296 0.3296
17 Ba 0.6704 0.6704 0.6704
18 Ga 0.0918 0.0918 0.0918
19 Ga 0.9082 0.9082 0.9082

## Properties
- crystal system = trigonal
- magnetic moment (μB/f.u.) = 0.0
- Fermi-level density of states (states/eV/f.u.) = 6.6
- uncorrected energy (eV per atom) = -1.4175
- space-group type = No. 166

[9]
Compound: NdSmEr5
Source: Alexandria
Functional: PBE-GGA
Structure: relaxed

Cell lengths 6.7304, 6.7304, 13.7516 Å; angles 61.22, 61.22, 60.81 degrees
Fractional positions:
1 Er 0.1724 0.3909 0.7474
2 Er 0.6091 0.8276 0.7526
3 Er 0.8276 0.6091 0.2526
4 Er 0.3909 0.1724 0.2474
5 Er 0.8386 0.1614 0.2500
6 Er 0.3022 0.3568 0.9984
7 Er 0.6978 0.6432 0.0016
8 Er 0.6432 0.6978 0.5016
9 Er 0.3568 0.3022 0.4984
10 Er 0.1614 0.8386 0.7500
11 Sm 0.0000 0.0000 0.0000
12 Sm 0.0000 0.0000 0.5000
13 Nd 0.7246 0.2754 0.7500
14 Nd 0.2754 0.7246 0.2500

## Properties
- crystal system = monoclinic
- magnetic moment (μB/f.u.) = 0.0
- ΔE to the lowest computed polymorph (eV/atom) = 0.0000
- Fermi-level density of states (states/eV/f.u.) = 9.2
- space-group type = No. 15

[10]
Compound: Na2Sn5Bi2Sb2
Source: Alexandria
Functional: PBE-GGA
Structure: relaxed

Cell lengths 5.3060, 5.3060, 16.7926 Å; angles 99.09, 99.09, 90.00 degrees
Fractional positions:
1 Sb 0.0914 0.0914 0.1829
2 Sb 0.9086 0.9086 0.8171
3 Sn 0.1376 0.6376 0.2752
4 Sn 0.0000 0.0000 0.0000
5 Sn 0.6376 0.1376 0.2752
6 Sn 0.8624 0.3624 0.7248
7 Sn 0.3624 0.8624 0.7248
8 Na 0.7902 0.7902 0.5804
9 Na 0.2098 0.2098 0.4196
10 Bi 0.6903 0.6903 0.3806
11 Bi 0.3097 0.3097 0.6194

## Properties
- crystal system = tetragonal
- magnetic moment (μB/f.u.) = 0.0
- Fermi-level density of states (states/eV/f.u.) = 5.3
- formation energy (no corrections) (eV per atom) = 0.14
- space-group type = No. 139

[11]
Compound: BeV2Se
Source: Alexandria
Functional: PBE-GGA
Structure: relaxed

Cell lengths 4.9748, 4.9748, 6.7631 Å; angles 68.42, 68.42, 90.00 degrees
Fractional positions:
1 V 0.5687 0.1250 0.2500
2 V 0.8750 0.8187 0.7500
3 V 0.3750 0.4313 0.7500
4 V 0.1813 0.6250 0.2500
5 Be 0.2500 0.7500 0.5000
6 Be 0.5000 0.5000 0.0000
7 Se 0.0000 0.0000 0.0000
8 Se 0.7500 0.2500 0.5000

## Properties
- crystal system = tetragonal
- magnetic moment (μB/f.u.) = 0.8
- ΔE to the lowest computed polymorph (eV/atom) = 0.6063
- Fermi-level density of states (states/eV/f.u.) = 3.9
- formation energy (no corrections) (eV per atom) = 0.79
- space-group type = No. 122

[12]
Compound: PmSc2Pd3
Source: Alexandria
Functional: PBE-GGA
Structure: relaxed

Cell lengths 3.3367, 3.3367, 10.5986 Å; angles 90.00, 90.00, 90.00 degrees
Fractional positions:
1 Pd 0.0000 0.0000 0.3001
2 Pd 0.0000 0.0000 0.0000
3 Pd 0.0000 0.0000 0.6999
4 Sc 0.5000 0.5000 0.8421
5 Sc 0.5000 0.5000 0.1579
6 Pm 0.5000 0.5000 0.5000

## Properties
- crystal system = tetragonal
- magnetic moment (μB/f.u.) = 0.0
- Fermi-level density of states (states/eV/f.u.) = 3.9
- uncorrected energy (eV per atom) = -6.3468
- space-group type = No. 123

[13]
Compound: BaPt3Cl
Source: Alexandria
Functional: PBE-GGA
Structure: relaxed

Cell lengths 4.8291, 4.8291, 4.8291 Å; angles 90.00, 90.00, 90.00 degrees
Fractional positions:
1 Ba 0.5000 0.5000 0.5000
2 Pt 0.0000 0.0000 0.5000
3 Pt 0.5000 0.0000 0.0000
4 Pt 0.0000 0.5000 0.0000
5 Cl 0.0000 0.0000 0.0000

## Properties
- crystal system = cubic
- magnetic moment (μB/f.u.) = 0.0
- ΔE to the lowest computed polymorph (eV/atom) = 0.0000
- Fermi-level density of states (states/eV/f.u.) = 2.1
- formation energy (no corrections) (eV per atom) = 0.21
- space-group type = No. 221

[14]
Compound: ZrScW
Source: Alexandria
Functional: PBE-GGA
Structure: relaxed

Cell lengths 7.7927, 7.6282, 2.9313 Å; angles 82.22, 75.90, 21.88 degrees
Fractional positions:
1 W 0.3332 0.3332 0.6668
2 Sc 0.9847 0.9847 0.0153
3 Zr 0.6820 0.6820 0.3180

## Properties
- crystal system = orthorhombic
- magnetic moment (μB/f.u.) = 0.0
- ΔE to the lowest computed polymorph (eV/atom) = 0.0192
- Fermi-level density of states (states/eV/f.u.) = 5.2
- space-group type = No. 42

[15]
Compound: Ho2CuNi9
Source: Alexandria
Functional: PBE-GGA
Structure: relaxed

Cell lengths 4.8830, 4.8830, 8.4454 Å; angles 73.20, 73.20, 60.00 degrees
Fractional positions:
1 Ni 0.9199 0.4179 0.2442
2 Ni 0.3331 0.3331 0.0007
3 Ni 0.5821 0.0801 0.7558
4 Ni 0.6669 0.6669 0.9993
5 Ni 0.5821 0.5821 0.7558
6 Ni 0.4179 0.4179 0.2442
7 Ni 0.5000 0.5000 0.5000
8 Ni 0.4179 0.9199 0.2442
9 Ni 0.0801 0.5821 0.7558
10 Cu 0.0000 0.0000 0.0000
11 Ho 0.1337 0.1337 0.5988
12 Ho 0.8663 0.8663 0.4012

## Properties
- crystal system = trigonal
- magnetic moment (μB/f.u.) = 2.7
- Fermi-level density of states (states/eV/f.u.) = 11.7
- uncorrected energy (eV per atom) = -5.6043
- space-group type = No. 166

[16]
Compound: PmDyScGa
Source: Alexandria
Functional: PBE-GGA
Structure: relaxed

Cell lengths 5.2535, 5.2535, 5.2535 Å; angles 60.00, 60.00, 60.00 degrees
Fractional positions:
1 Sc 0.7500 0.7500 0.7500
2 Pm 0.5000 0.5000 0.5000
3 Dy 0.0000 0.0000 0.0000
4 Ga 0.2500 0.2500 0.2500

## Properties
- crystal system = cubic
- magnetic moment (μB/f.u.) = 1.1
- Fermi-level density of states (states/eV/f.u.) = 5.1
- uncorrected energy (eV per atom) = -4.8234
- space-group type = No. 216

[17]
Compound: HfAsCl2
Source: Alexandria
Functional: PBE-GGA
Structure: relaxed

Cell lengths 9.1341, 9.1341, 6.9652 Å; angles 49.03, 49.03, 90.00 degrees
Fractional positions:
1 As 0.5000 0.5000 0.0000
2 As 0.2500 0.7500 0.5000
3 Hf 0.0000 0.0000 0.0000
4 Hf 0.7500 0.2500 0.5000
5 Cl 0.7687 0.1250 0.2500
6 Cl 0.3750 0.2313 0.7500
7 Cl 0.8750 0.0187 0.7500
8 Cl 0.9813 0.6250 0.2500

## Properties
- crystal system = tetragonal
- magnetic moment (μB/f.u.) = 1.0
- ΔE to the lowest computed polymorph (eV/atom) = 0.0141
- Fermi-level density of states (states/eV/f.u.) = 1.7
- formation energy (no corrections) (eV per atom) = -0.70
- space-group type = No. 122

[18]
Compound: PmHoPa2As4
Source: Alexandria
Functional: PBE-GGA
Structure: relaxed

Cell lengths 4.1257, 7.1450, 7.1472 Å; angles 70.53, 90.00, 90.00 degrees
Fractional positions:
1 Pa 0.5000 0.0000 0.5000
2 Pa 0.0000 0.0000 0.0000
3 As 0.5000 0.2456 0.7475
4 As 0.0000 0.2425 0.2565
5 As 0.0000 0.7575 0.7435
6 As 0.5000 0.7544 0.2525
7 Ho 0.0000 0.5000 0.5000
8 Pm 0.5000 0.5000 0.0000

## Properties
- crystal system = monoclinic
- magnetic moment (μB/f.u.) = 0.0
- Fermi-level density of states (states/eV/f.u.) = 8.0
- uncorrected energy (eV per atom) = -7.1418
- space-group type = No. 10

[19]
Compound: SrSiHgAu2
Source: Alexandria
Functional: PBE-GGA
Structure: relaxed

Cell lengths 4.9560, 4.9560, 5.0689 Å; angles 90.00, 90.00, 90.00 degrees
Fractional positions:
1 Au 0.0000 0.5000 0.0000
2 Au 0.5000 0.0000 0.0000
3 Sr 0.5000 0.5000 0.5000
4 Hg 0.0000 0.0000 0.5000
5 Si 0.0000 0.0000 0.0000

## Properties
- crystal system = tetragonal
- magnetic moment (μB/f.u.) = 0.0
- Fermi-level density of states (states/eV/f.u.) = 1.0
- formation energy (no corrections) (eV per atom) = -0.32
- space-group type = No. 123

[20]
Compound: Ca2GaNiBr
Source: Alexandria
Functional: PBE-GGA
Structure: relaxed

Cell lengths 5.7695, 4.3536, 5.7695 Å; angles 90.00, 90.00, 90.00 degrees
Fractional positions:
1 Ni 0.0000 0.5000 0.0000
2 Br 0.5000 0.5000 0.5000
3 Ca 0.0000 0.0000 0.5000
4 Ca 0.5000 0.0000 0.0000
5 Ga 0.0000 0.0000 0.0000

## Properties
- crystal system = tetragonal
- magnetic moment (μB/f.u.) = 0.0
- Fermi-level density of states (states/eV/f.u.) = 3.3
- formation energy (no corrections) (eV per atom) = -0.39
- space-group type = No. 123